Ac4La11Tb9 | the Alexandria database | GGA-PBE | relaxed; ΔE_f = 0.0705 eV/atom; SG = Cmmm, No. 65; M_tot = 0.00 μB per formula unit; DOS at the Fermi energy = 40.68 states/eV per cell
1.0
8.675 -13.569 0.000
8.675 13.569 0.000
0.000 0.000 3.747
Ac La Tb
4 11 9
Cartesian
2.984 2.316 0.000
2.984 -2.316 0.000
14.366 2.316 0.000
14.366 -2.316 0.000
4.906 5.061 1.874
8.675 10.231 1.874
5.174 0.000 1.874
8.675 5.135 1.874
4.906 -5.061 1.874
8.675 0.000 1.874
12.444 5.061 1.874
8.675 -5.135 1.874
12.176 0.000 1.874
8.675 -10.231 1.874
12.444 -5.061 1.874
0.000 0.000 0.000
6.839 7.622 0.000
6.870 2.586 0.000
10.511 7.622 0.000
6.870 -2.586 0.000
10.480 2.586 0.000
6.839 -7.622 0.000
10.480 -2.586 0.000
10.511 -7.622 0.000


AcLa4Tb5 | the Alexandria database | GGA-PBE | relaxed; ΔE_f = 0.0186 eV/atom; SG = C2/m, No. 12; M_tot = 0.00 μB per formula unit; DOS at the Fermi energy = 12.87 states/eV per cell
1.0
7.937 -1.852 0.000
7.937 1.852 0.000
-2.771 0.000 11.869
Ac La Tb
1 4 5
Cartesian
0.000 0.000 0.000
1.516 0.000 7.107
5.772 0.000 2.414
7.331 0.000 9.455
11.587 0.000 4.762
0.760 0.000 3.578
2.239 0.000 10.670
6.552 0.000 5.934
10.865 0.000 1.199
12.343 0.000 8.290


Ac8LaTb5 | the Alexandria database | GGA-PBE | relaxed; ΔE_f = 0.2462 eV/atom; SG = I-4, No. 82; M_tot = 0.00 μB per formula unit; DOS at the Fermi energy = 20.90 states/eV per cell
1.0
-5.103 5.103 5.488
5.103 -5.103 5.488
5.103 5.103 -5.488
Ac La Tb
8 1 5
Cartesian
6.960 0.896 -0.017
4.393 3.328 -1.688
0.896 3.247 0.017
0.710 1.775 3.800
1.775 -0.710 7.176
4.207 1.856 5.506
3.328 5.813 1.688
-1.856 4.207 5.471
0.000 0.000 0.000
3.090 -1.055 3.534
4.048 2.013 1.954
2.013 6.158 -1.954
0.000 5.103 2.744
1.055 3.090 7.442


Ac6La2Tb | the Alexandria database | GGA-PBE | relaxed; ΔE_f = 0.0771 eV/atom; SG = P-6m2, No. 187; M_tot = 0.00 μB per formula unit; DOS at the Fermi energy = 18.10 states/eV per cell
1.0
3.901 0.000 0.000
-1.951 3.379 0.000
0.000 0.000 28.988
Ac La Tb
6 2 1
Cartesian
0.000 0.000 1.886
0.000 0.000 8.187
0.000 0.000 20.801
0.000 0.000 27.102
0.000 2.252 11.506
0.000 2.252 17.481
0.000 2.252 4.979
0.000 2.252 24.008
0.000 0.000 14.494


Ac2La2Tb15 | the Alexandria database | GGA-PBE | relaxed; ΔE_f = 0.2513 eV/atom; SG = R-3m, No. 166; M_tot = 0.00 μB per formula unit; DOS at the Fermi energy = 36.53 states/eV per cell
1.0
5.857 3.382 5.691
-5.857 3.382 5.691
0.000 -6.764 5.691
Ac La Tb
2 2 15
Cartesian
0.000 0.000 1.875
0.000 0.000 15.199
0.000 0.000 6.005
0.000 0.000 11.068
-5.857 0.000 8.537
-2.005 -3.292 5.691
-2.929 1.691 2.846
-3.853 -0.090 5.691
-2.752 -1.589 8.674
0.000 -3.178 8.400
-2.752 1.589 8.400
2.005 -3.292 5.691
-1.848 3.382 5.691
2.929 1.691 2.846
3.853 -0.090 5.691
1.848 3.382 5.691
2.752 -1.589 8.674
0.000 3.178 8.674
2.752 1.589 8.400


Ac8La6Tb | the Alexandria database | GGA-PBE | relaxed; ΔE_f = 0.2130 eV/atom; SG = P-3, No. 147; M_tot = 0.00 μB per formula unit; DOS at the Fermi energy = 20.84 states/eV per cell
1.0
10.152 0.000 0.000
-5.076 8.792 0.000
0.000 0.000 7.218
Ac La Tb
8 6 1
Cartesian
-3.233 6.134 0.857
1.380 2.925 0.857
3.223 0.267 6.361
0.000 5.861 5.646
5.076 2.931 1.572
1.853 8.525 0.857
3.696 5.867 6.361
8.309 2.658 6.361
-1.403 3.390 2.866
-1.438 8.312 2.866
2.234 2.910 4.352
2.842 5.882 2.866
6.514 0.480 4.352
6.479 5.402 4.352
0.000 0.000 3.609


Ac5LaTb2 | the Alexandria database | GGA-PBE | relaxed; ΔE_f = 0.0321 eV/atom; SG = Pbam, No. 55; M_tot = 0.00 μB per formula unit; DOS at the Fermi energy = 20.11 states/eV per cell
1.0
7.690 0.000 0.000
0.000 15.376 0.000
0.000 0.000 5.468
Ac La Tb
10 2 4
Cartesian
0.000 0.000 0.000
0.034 3.870 0.000
1.884 9.579 2.734
1.961 1.891 2.734
3.811 11.558 0.000
3.845 7.688 0.000
3.879 3.817 0.000
5.729 13.485 2.734
5.806 5.797 2.734
7.656 11.505 0.000
0.000 7.688 0.000
3.845 0.000 0.000
1.906 13.464 2.734
1.939 5.776 2.734
5.751 9.599 2.734
5.784 1.912 2.734


AcLa2Tb5 | the Alexandria database | GGA-PBE | relaxed; ΔE_f = 0.0364 eV/atom; SG = P-1, No. 2; M_tot = 0.00 μB per formula unit; DOS at the Fermi energy = 48.06 states/eV per cell
1.0
8.192 0.000 0.000
-3.242 12.248 0.000
-3.362 -5.249 11.069
Ac La Tb
4 8 20
Cartesian
-1.228 1.348 4.457
-2.860 7.447 4.507
4.448 -0.448 6.562
2.816 5.651 6.612
-1.197 5.666 1.714
-0.507 -3.946 10.738
-0.374 9.199 2.403
-2.076 2.214 10.718
3.664 4.785 0.351
1.962 -2.199 8.666
2.095 10.945 0.331
2.785 1.333 9.355
-1.298 -3.055 7.282
-2.918 -1.351 10.045
0.421 -0.436 1.715
-4.561 4.821 10.066
-2.872 3.098 7.259
1.171 -1.290 5.181
-0.425 4.816 5.206
1.239 3.061 2.422
-0.434 0.434 7.952
-2.036 6.536 7.991
3.624 0.463 3.078
2.022 6.565 3.118
0.350 3.938 8.647
2.013 2.183 5.864
0.417 8.289 5.888
4.460 3.901 3.810
6.149 2.178 1.003
1.167 7.435 9.354
4.506 8.350 1.025
2.886 10.054 3.788


> Look up the M_tot of the third one.

0.00 μB per formula unit


> Which formula does entry 4 have?

Ac6La2Tb


> Which of these has the lowest ΔE_f?

AcLa4Tb5


> ΔE_f of number 4 (Ac6La2Tb)?

0.0771 eV/atom